The following is a SCAN calculation of Na2LiC at its PBEsol-relaxed geometry, from Alexandria.

Geometry as CIF:
```
data_Na2LiC
_cell_length_a 3.844
_cell_length_b 3.844
_cell_length_c 9.459
_cell_angle_alpha 101.72
_cell_angle_beta 101.72
_cell_angle_gamma 90.00
_space_group_name_H-M_alt 'P 1'
_space_group_IT_number 1
loop_
_space_group_symop_operation_xyz
'x,y,z'
loop_
_atom_site_label
_atom_site_fract_x
_atom_site_fract_y
_atom_site_fract_z
Na1 0.344 0.875 0.250
Na2 0.906 0.375 0.250
Na3 0.125 0.094 0.750
Na4 0.625 0.656 0.750
C1 0.250 0.750 0.500
C2 0.000 0.000 0.000
Li1 0.750 0.250 0.500
Li2 0.500 0.500 0.000
```

Computed properties:
The value obtained for the total energy is -4.055 eV per atom. As for the total magnetic moment: 0.00 μB/cell. The calculation puts the formation energy at 1.175 eV per atom.